Entry 1:
Ag3Pd6Pt2 | PBE-GGA | relaxed

extended XYZ file:
```
11
Lattice="5.538 0.000 0.000 2.766 4.919 0.000 1.392 2.184 6.852" Properties=species:S:1:pos:R:3 pbc="T T T"
Ag 0.000 0.000 0.000
Ag 4.791 6.061 3.681
Ag 4.905 1.042 3.171
Pd 1.922 2.698 1.237
Pd 3.495 3.540 3.389
Pd 3.790 1.844 5.625
Pd 5.905 5.258 1.227
Pd 6.201 3.563 3.463
Pd 7.774 4.405 5.616
Pt 4.942 4.253 5.775
Pt 4.754 2.850 1.078
```

Calculated values
**Space group**: P-1
**Total moment**: 0.0000 μB/atom
**Calculated total energy**: -50.7 eV per formula unit


Entry 2:
Li2LaAlMo | PBE-GGA | relaxed

extended XYZ file:
```
5
Lattice="4.737 0.000 0.000 0.000 4.737 0.000 0.000 0.000 5.913" Properties=species:S:1:pos:R:3 pbc="T T T"
Li 0.000 2.369 0.000
Li 2.369 0.000 0.000
La 0.000 0.000 2.957
Al 0.000 0.000 0.000
Mo 2.369 2.369 2.957
```

Calculated values
**Space group**: P4/mmm
**Total moment**: 0.5366 μB/atom
**Calculated total energy**: -18.3 eV per formula unit


Entry 3:
Y6Ho3Tm2Th | PBE-GGA | relaxed

extended XYZ file:
```
12
Lattice="3.074 -5.322 0.000 3.074 5.322 0.000 -2.049 0.000 11.594" Properties=species:S:1:pos:R:3 pbc="T T T"
Y -0.003 1.760 8.685
Y 1.003 0.000 2.910
Y -0.003 -1.760 8.685
Y 4.103 1.760 2.909
Y 3.096 0.000 8.684
Y 4.103 -1.760 2.909
Ho 3.074 3.540 0.000
Ho 3.074 0.000 0.000
Ho 3.074 -3.540 0.000
Tm 2.050 1.775 5.797
Tm 2.050 -1.775 5.797
Th -1.025 0.000 5.797
```

Calculated values
**Space group**: C2/m
**Total moment**: 0.0000 μB/atom
**Calculated total energy**: -68.6 eV per formula unit


Entry 4:
CeHo6Tm3 | PBE-GGA | relaxed

extended XYZ file:
```
20
Lattice="5.441 -9.322 0.000 5.441 9.322 0.000 0.000 0.000 6.115" Properties=species:S:1:pos:R:3 pbc="T T T"
Ce 5.441 5.421 3.058
Ce 5.441 -5.421 0.000
Ho 2.657 3.906 1.748
Ho 5.441 8.393 4.499
Ho 5.441 4.046 0.122
Ho 3.656 0.845 0.772
Ho 3.656 -0.845 3.830
Ho 2.657 -3.906 4.805
Ho 8.225 3.906 1.748
Ho 7.226 0.845 0.772
Ho 7.226 -0.845 3.830
Ho 5.441 -4.046 3.179
Ho 5.441 -8.393 1.442
Ho 8.225 -3.906 4.805
Tm 1.875 2.051 4.316
Tm 1.875 -2.051 1.258
Tm 5.441 2.082 3.577
Tm 5.441 -2.082 0.519
Tm 9.008 2.051 4.316
Tm 9.008 -2.051 1.258
```

Calculated values
**Energy relative to the lowest polymorph listed for this composition**: 0.0 meV per atom
**Space group**: Cmc2_1
**Total moment**: 0.0716 μB/atom
**Calculated total energy**: -45.2 eV per formula unit


Entry 5:
V6CrRu3 | PBE-GGA | relaxed

extended XYZ file:
```
10
Lattice="0.000 4.335 4.335 4.335 0.000 4.335 4.335 4.335 0.000" Properties=species:S:1:pos:R:3 pbc="T T T"
V 4.335 4.335 2.104
V 4.335 2.104 4.335
V 6.565 4.335 4.335
V 2.104 4.335 4.335
V 4.335 6.565 4.335
V 4.335 4.335 6.565
Cr 0.000 0.000 0.000
Ru 2.167 2.167 2.167
Ru 4.335 4.335 4.335
Ru 6.502 6.502 6.502
```

Calculated values
**Space group**: Fm-3m
**Total moment**: 0.0004 μB/atom
**Calculated total energy**: -81.3 eV per formula unit


Entry 6:
CuSnB3 | PBE-GGA | relaxed

extended XYZ file:
```
5
Lattice="4.486 0.000 0.000 0.000 4.486 0.000 0.000 0.000 4.486" Properties=species:S:1:pos:R:3 pbc="T T T"
Cu 0.000 0.000 0.000
Sn 2.243 2.243 2.243
B 0.000 2.243 2.243
B 2.243 0.000 2.243
B 2.243 2.243 0.000
```

Calculated values
**Energy relative to the lowest polymorph listed for this composition**: 844.5 meV per atom
**Space group**: Pm-3m
**Total moment**: 0.0000 μB/atom
**Calculated total energy**: -16.2 eV per formula unit


Entry 7:
CaHf2BeN4 | PBE-GGA | relaxed

extended XYZ file:
```
16
Lattice="1.604 -5.382 0.000 1.604 5.382 0.000 0.000 0.000 10.768" Properties=species:S:1:pos:R:3 pbc="T T T"
Ca 1.604 4.312 8.076
Ca 1.604 -4.312 2.692
Hf 1.604 1.443 5.978
Hf 1.604 1.443 10.174
Hf 1.604 -1.443 0.594
Hf 1.604 -1.443 4.790
Be 1.604 3.519 2.692
Be 1.604 -3.519 8.076
N 0.000 0.000 0.000
N 0.000 0.000 5.384
N 1.604 2.594 1.252
N 1.604 2.594 4.132
N 1.604 0.880 8.076
N 1.604 -0.880 2.692
N 1.604 -2.594 6.636
N 1.604 -2.594 9.516
```

Calculated values
**Space group**: Cmcm
**Total moment**: 0.0000 μB/atom
**E_form (uncorrected)**: -36.500 kcal/mol of atoms
**Calculated total energy**: -71.6 eV per formula unit


Entry 8:
RbHRhF6 | PBE-GGA | relaxed

extended XYZ file:
```
9
Lattice="4.835 0.000 0.000 0.505 5.563 0.000 2.211 -0.074 5.281" Properties=species:S:1:pos:R:3 pbc="T T T"
Rb 0.000 0.000 0.000
H 4.626 2.560 3.412
Rh 2.077 2.921 2.087
F 0.627 2.729 0.852
F 3.627 3.092 3.445
F 2.738 1.205 1.549
F 3.049 3.874 0.749
F 5.687 2.033 3.466
F 6.221 4.592 2.742
```

Calculated values
**Space group**: P1
**Total moment**: 0.1127 μB/atom
**Calculated total energy**: -39.6 eV per formula unit


Entry 9:
Na2Hg2Pb3 | PBE-GGA | relaxed

extended XYZ file:
```
7
Lattice="2.499 -11.228 0.000 2.499 11.228 0.000 0.000 0.000 3.569" Properties=species:S:1:pos:R:3 pbc="T T T"
Na 2.499 7.659 0.000
Na 2.499 -7.659 0.000
Hg 2.499 4.820 1.784
Hg 2.499 -4.820 1.784
Pb 0.000 0.000 0.000
Pb 2.499 1.666 1.784
Pb 2.499 -1.666 1.784
```

Calculated values
**Energy relative to the lowest polymorph listed for this composition**: 0.0 meV per atom
**Space group**: Cmmm
**Total moment**: 0.0000 μB/atom
**Calculated total energy**: -15.4 eV per formula unit


Entry 10:
Zr2TaHIr | PBE-GGA | relaxed

extended XYZ file:
```
5
Lattice="4.695 0.000 0.000 0.000 4.695 0.000 0.000 0.000 3.578" Properties=species:S:1:pos:R:3 pbc="T T T"
Zr 0.000 2.348 0.000
Zr 2.348 0.000 0.000
Ta 0.000 0.000 1.789
H 2.348 2.348 0.000
Ir 2.348 2.348 1.789
```

Calculated values
**Energy relative to the lowest polymorph listed for this composition**: 39.2 meV per atom
**Space group**: P4/mmm
**Total moment**: 0.0000 μB/atom
**Calculated total energy**: -42.6 eV per formula unit


Entry 11:
MgTlTc | PBE-GGA | relaxed

extended XYZ file:
```
6
Lattice="2.948 0.000 0.000 -0.001 3.461 0.000 -1.454 -1.722 11.855" Properties=species:S:1:pos:R:3 pbc="T T T"
Mg 0.010 0.002 4.972
Mg 1.483 1.736 6.883
Tl 0.006 0.004 1.523
Tl 1.486 1.735 10.333
Tc 0.011 0.005 8.450
Tc 1.481 1.734 3.405
```

Calculated values
**Energy relative to the lowest polymorph listed for this composition**: 15.5 meV per atom
**Space group**: P-1
**Total moment**: 0.0000 μB/atom
**Calculated total energy**: -12.8 eV per formula unit


Entry 12:
K2Pb | PBE-GGA | relaxed

extended XYZ file:
```
24
Lattice="0.000 8.459 8.459 8.459 0.000 8.459 8.459 8.459 0.000" Properties=species:S:1:pos:R:3 pbc="T T T"
K 0.000 0.000 0.000
K 4.229 4.229 0.000
K 4.229 0.000 4.229
K 6.344 6.344 3.030
K 6.344 3.030 6.344
K 9.659 6.344 6.344
K 10.573 10.573 7.259
K 10.573 7.259 10.573
K 13.888 10.573 10.573
K 0.000 4.229 4.229
K 3.030 6.344 6.344
K 6.344 9.659 6.344
K 6.344 6.344 9.659
K 7.259 10.573 10.573
K 10.573 13.888 10.573
K 10.573 10.573 13.888
Pb 13.652 7.495 7.495
Pb 3.265 3.265 3.265
Pb 9.423 9.423 3.265
Pb 9.423 3.265 9.423
Pb 7.495 13.652 7.495
Pb 7.495 7.495 13.652
Pb 13.652 13.652 13.652
Pb 3.265 9.423 9.423
```

Calculated values
**Space group**: Fd-3m
**Total moment**: 0.0000 μB/atom
**Calculated total energy**: -6.3 eV per formula unit


What is the calculated total energy in the tenth record?
-42.6 eV per formula unit


Which value of total moment does entry 7 give?
0.0000 μB/atom


Number 10 is which compound?
Zr2TaHIr


Number 3 is which compound?
Y6Ho3Tm2Th